# 1
Density functional theory data (PBE) for K5Pt after structural relaxation. Values from VASP.

Values from the calculation:
theoretical density	2.0	g cm⁻³
formation energy from the elements	43	meV per atom
E	-1.878	eV/atom
distance to the lowest polymorph of the same formula	0.0	kJ/mol of atoms

Geometry as Quantum ESPRESSO input:
```
&SYSTEM
  ibrav = 0, nat = 12, ntyp = 2
/
ATOMIC_SPECIES
K 39.10 K.upf
Pt 195.08 Pt.upf
ATOMIC_POSITIONS angstrom
K 0.0000 0.0000 0.0000
K -0.5730 2.1056 3.8724
K -1.8015 2.1056 7.2768
K 3.9843 0.0000 2.3697
K 2.7558 0.0000 5.7740
K 7.8623 2.1056 0.0000
K 7.2894 0.0000 3.8724
K 6.0609 0.0000 7.2768
K 11.8466 2.1056 2.3697
K 10.6181 2.1056 5.7740
Pt -2.8398 0.0000 4.8232
Pt 5.0226 2.1056 4.8232
CELL_PARAMETERS angstrom
15.7247 0.0000 0.0000
0.0000 4.2113 0.0000
-5.6795 0.0000 9.6464
```



# 2
Density functional theory data (PBE) for Ti2CrN after structural relaxation. Values from VASP.

Values from the calculation:
theoretical density	5.4	g cm⁻³
E	-9.187	eV/atom

Geometry as Quantum ESPRESSO input:
```
&SYSTEM
  ibrav = 0, nat = 12, ntyp = 3
/
ATOMIC_SPECIES
Ti 47.87 Ti.upf
Cr 52.00 Cr.upf
N 14.01 N.upf
ATOMIC_POSITIONS angstrom
Ti 0.0000 0.0000 4.5922
Ti 0.0000 0.0000 15.5384
Ti 0.0000 1.6843 8.8282
Ti 0.0000 1.6843 18.0127
Ti 1.4586 0.8421 2.1180
Ti 1.4586 0.8421 11.3025
Cr 0.0000 0.0000 0.0000
Cr 0.0000 1.6843 13.4205
Cr 1.4586 0.8421 6.7102
N 0.0000 0.0000 10.0653
N 0.0000 1.6843 3.3551
N 1.4586 0.8421 16.7756
CELL_PARAMETERS angstrom
2.9172 0.0000 0.0000
-1.4586 2.5264 0.0000
0.0000 0.0000 20.1307
```



# 3
Density functional theory data (PBE) for BeAlCu2Rh after structural relaxation. Values from VASP.

Values from the calculation:
theoretical density	6.7	g cm⁻³
formation energy from the elements	309	meV per atom
E	-4.293	eV/atom

Geometry as Quantum ESPRESSO input:
```
&SYSTEM
  ibrav = 0, nat = 5, ntyp = 4
/
ATOMIC_SPECIES
Be 9.01 Be.upf
Al 26.98 Al.upf
Cu 63.55 Cu.upf
Rh 102.91 Rh.upf
ATOMIC_POSITIONS angstrom
Be 0.0000 0.0000 0.0000
Al 0.0000 0.0000 2.1339
Cu 0.0000 1.9689 0.0000
Cu 1.9689 0.0000 0.0000
Rh 1.9689 1.9689 2.1339
CELL_PARAMETERS angstrom
3.9379 0.0000 0.0000
0.0000 3.9379 0.0000
0.0000 0.0000 4.2679
```



# 4
Density functional theory data (PBE) for CsPaAuO4 after structural relaxation. Values from VASP.

Values from the calculation:
theoretical density	7.3	g cm⁻³
E	-6.785	eV/atom

Geometry as Quantum ESPRESSO input:
```
&SYSTEM
  ibrav = 0, nat = 14, ntyp = 4
/
ATOMIC_SPECIES
Cs 132.91 Cs.upf
Pa 231.04 Pa.upf
Au 196.97 Au.upf
O 16.00 O.upf
ATOMIC_POSITIONS angstrom
Cs 0.0000 1.7496 1.9781
Cs 3.4271 1.7496 3.9575
Pa 3.4271 0.0000 0.0000
Pa 0.0000 0.0000 5.9356
Au 1.7135 1.7496 -2.9678
Au 1.7135 -1.7496 2.9678
O 3.4271 -0.4793 2.2328
O 3.4271 3.0199 -2.2328
O 2.1526 1.7496 0.2239
O 4.7016 1.7496 0.2239
O -1.2745 1.7496 5.7117
O 1.2745 1.7496 5.7117
O 0.0000 0.4793 8.1684
O 0.0000 3.9786 3.7028
CELL_PARAMETERS angstrom
-3.4271 3.4992 5.9356
3.4271 -3.4992 5.9356
3.4271 3.4992 -5.9356
```



# 5
Density functional theory data (PBE) for HoTiCu after structural relaxation. Values from VASP.

Values from the calculation:
theoretical density	7.3	g cm⁻³
formation energy from the elements	220	meV per atom
E	-5.303	eV/atom

Geometry as Quantum ESPRESSO input:
```
&SYSTEM
  ibrav = 0, nat = 12, ntyp = 3
/
ATOMIC_SPECIES
Ho 164.93 Ho.upf
Ti 47.87 Ti.upf
Cu 63.55 Cu.upf
ATOMIC_POSITIONS angstrom
Ho 2.1124 0.0000 0.0000
Ho 2.1124 1.7145 2.9612
Ho 10.1981 0.0000 0.0000
Ho 10.1981 1.7145 2.9612
Ti 4.5328 0.0000 1.9763
Ti 4.5328 1.7145 4.9375
Ti 7.7777 0.0000 1.9763
Ti 7.7777 1.7145 4.9375
Cu 0.0000 0.0000 1.9800
Cu 0.0000 1.7145 4.9412
Cu 6.1553 0.0000 5.9214
Cu 6.1553 1.7145 2.9602
CELL_PARAMETERS angstrom
12.3105 0.0000 0.0000
0.0000 3.4290 0.0000
0.0000 0.0000 5.9224
```



# 6
Density functional theory data (PBE) for Ce3YTh4P8 after structural relaxation. Values from VASP.

Values from the calculation:
theoretical density	7.1	g cm⁻³
formation energy from the elements	-1553	meV per atom
E	-7.629	eV/atom

Geometry as Quantum ESPRESSO input:
```
&SYSTEM
  ibrav = 0, nat = 16, ntyp = 4
/
ATOMIC_SPECIES
Ce 140.12 Ce.upf
Y 88.91 Y.upf
Th 232.04 Th.upf
P 30.97 P.upf
ATOMIC_POSITIONS angstrom
Ce -2.0566 -1.1874 6.6967
Ce -2.0566 1.1874 13.3933
Ce 0.0000 2.3748 6.6967
Y 0.0000 0.0000 0.0000
Th -4.1132 0.0000 10.0450
Th -2.0566 1.1874 3.3483
Th 2.0566 1.1874 3.3483
Th 0.0000 0.0000 10.0450
P 0.0000 -2.3833 8.3402
P -2.0640 1.1916 8.3402
P -2.0640 -1.1916 11.7497
P 0.0000 0.0000 5.0469
P 0.0000 0.0000 15.0431
P 2.0640 1.1916 8.3403
P 2.0640 -1.1916 11.7497
P 0.0000 2.3833 11.7497
CELL_PARAMETERS angstrom
4.1133 2.3748 6.6967
-4.1133 2.3748 6.6967
0.0000 -4.7496 6.6967
```



# 7
Density functional theory data (PBE) for GaAg2Pt after structural relaxation. Values from VASP.

Values from the calculation:
theoretical density	11.3	g cm⁻³
formation energy from the elements	127	meV per atom
E	-3.565	eV/atom

Geometry as Quantum ESPRESSO input:
```
&SYSTEM
  ibrav = 0, nat = 12, ntyp = 3
/
ATOMIC_SPECIES
Ga 69.72 Ga.upf
Ag 107.87 Ag.upf
Pt 195.08 Pt.upf
ATOMIC_POSITIONS angstrom
Ga 0.0000 0.0000 0.0000
Ga 0.0000 1.6280 20.4594
Ga 1.4099 0.8140 10.2297
Ag 0.0000 0.0000 12.6234
Ag 0.0000 0.0000 18.0658
Ag 0.0000 1.6280 2.3937
Ag 0.0000 1.6280 7.8360
Ag 1.4099 0.8140 22.8531
Ag 1.4099 0.8140 28.2955
Pt 0.0000 0.0000 15.3446
Pt 0.0000 1.6280 5.1149
Pt 1.4099 0.8140 25.5743
CELL_PARAMETERS angstrom
2.8198 0.0000 0.0000
-1.4099 2.4421 0.0000
0.0000 0.0000 30.6891
```